Here is InHN2 after structural relaxation from Alexandria via LeMat-Bulk. Energies are from PBE-GGA.

Results
distance to the lowest polymorph of the same formula	0.4669	eV per atom
spin magnetization	0.0	Bohr magnetons per cell

Lattice parameters (Å, degrees): 5.9291 5.9291 5.9291 142.02 142.02 54.79
Fractional coordinates of all 8 atoms:
1 In 0.0000 0.0000 0.0000
2 In 0.7500 0.2500 0.5000
3 H 0.2500 0.7500 0.5000
4 H 0.5000 0.5000 0.0000
5 N 0.2778 0.6250 0.1528
6 N 0.3750 0.5278 0.6528
7 N 0.4722 0.1250 0.8472
8 N 0.8750 0.7222 0.3472



Here is Ba2TbRu3O12 after structural relaxation from Alexandria via LeMat-Bulk. Energies are from PBE-GGA.

Results
E_form (uncorrected)	-1620	meV/atom
spin magnetization	2.4	Bohr magnetons per cell

Lattice parameters (Å, degrees): 6.9839 6.9839 6.9839 63.44 63.44 63.44
Fractional coordinates of all 18 atoms:
1 Ba 0.1180 0.1180 0.1180
2 Ba 0.8820 0.8820 0.8820
3 Tb 0.5000 0.5000 0.5000
4 Ru 0.0000 0.5000 0.5000
5 Ru 0.5000 0.0000 0.5000
6 Ru 0.5000 0.5000 0.0000
7 O 0.1040 0.6207 0.6207
8 O 0.2099 0.2099 0.5975
9 O 0.2099 0.5975 0.2099
10 O 0.3793 0.3793 0.8960
11 O 0.3793 0.8960 0.3793
12 O 0.4025 0.7901 0.7901
13 O 0.5975 0.2099 0.2099
14 O 0.6207 0.1040 0.6207
15 O 0.6207 0.6207 0.1040
16 O 0.7901 0.4025 0.7901
17 O 0.7901 0.7901 0.4025
18 O 0.8960 0.3793 0.3793



Here is KLaHf2 after structural relaxation from Alexandria via LeMat-Bulk. Energies are from PBE-GGA.

Results
ΔE_f	1.10	eV/atom
distance to the lowest polymorph of the same formula	0.0000	eV per atom
spin magnetization	0.0	Bohr magnetons per cell

Lattice parameters (Å, degrees): 12.1721 12.1721 12.1721 158.84 158.84 30.10
Fractional coordinates of all 8 atoms:
1 K 0.0000 0.0000 0.0000
2 K 0.7500 0.2500 0.5000
3 La 0.2500 0.7500 0.5000
4 La 0.5000 0.5000 0.0000
5 Hf 0.1404 0.6250 0.0154
6 Hf 0.3750 0.3904 0.5154
7 Hf 0.6096 0.1250 0.9846
8 Hf 0.8750 0.8596 0.4846